Here is a relaxed structure of Th4Bi2PRu from the Alexandria database. Energies are from PBE.

Geometry as POSCAR:
```
Th4Bi2PRu
1.0
7.514 0.000 0.000
0.000 4.260 0.000
-2.473 0.000 7.413
Th Bi P Ru
4 2 1 1
direct
0.225 0.000 0.204
0.258 0.500 0.789
0.742 0.500 0.211
0.775 0.000 0.796
0.000 0.000 0.500
0.500 0.500 0.500
0.500 0.000 0.000
0.000 0.500 0.000
```

As for the formation energy: -601.5 kJ/mol of formula units. For the theoretical density, the calculation gives 10.34 g cm⁻³. As for the space group: P2/m.

=====

Here is a relaxed structure of IrOs3 from the Alexandria database. Energies are from PBE.

Geometry as POSCAR:
```
IrOs3
1.0
4.363 0.000 0.000
0.000 5.505 0.000
0.000 0.000 4.770
Ir Os
2 6
direct
0.250 0.250 0.164
0.750 0.750 0.836
0.250 0.000 0.667
0.250 0.500 0.667
0.250 0.750 0.169
0.750 0.000 0.333
0.750 0.250 0.831
0.750 0.500 0.333
```

As for the formation energy: -4.1 kJ/mol of formula units. For the theoretical density, the calculation gives 22.12 g cm⁻³. As for the space group: Pmmn.